Entry from the Alexandria database: an optimized crystal structure of Zn2FeH2 (PBE).

Total magnetic moment in μB/atom: 0.004
Energy above the most stable polymorph in this dataset in meV/atom: 0.0

Cell: 3.6184 3.6184 3.6823 Å, 90.00 90.00 90.00°
Closest atoms and distances in Å follow each position.
Space group P4/mmm (No. 123)
One atom of each set of equivalent atoms:
Zn: 0.0000 0.5000 0.0000 [2 per cell]  2 H 1.84
Fe: 0.0000 0.0000 0.5000 [1 per cell]  4 H 1.81
H: 0.0000 0.5000 0.5000 [2 per cell]  2 Fe 1.81, 2 Zn 1.84


Entry from the Alexandria database: an optimized crystal structure of CsCaAlTl2 (PBE).

Energy in eV/atom: -1.879
Total magnetic moment in μB/atom: 0.000

Cell: 5.5929 5.5929 6.2850 Å, 90.00 90.00 90.00°
Closest atoms and distances in Å follow each position.
Space group P4/mmm (No. 123)
One atom of each set of equivalent atoms:
Cs: 0.0000 0.0000 0.0000 [1 per cell]  2 Al 3.14
Ca: 0.5000 0.5000 0.0000 [1 per cell]  4 Cs 3.95, 8 Tl 4.21
Al: 0.0000 0.0000 0.5000 [1 per cell]  4 Tl 2.80
Tl: 0.0000 0.5000 0.5000 [2 per cell]  2 Al 2.80


Entry from the Alexandria database: an optimized crystal structure of CdCu2Tc (PBE).

Energy in eV/atom: -4.640
Total magnetic moment in μB/atom: 0.000

Cell: 2.7018 2.7018 8.0354 Å, 90.00 90.00 90.00°
Closest atoms and distances in Å follow each position.
Space group P4/mmm (No. 123)
One atom of each set of equivalent atoms:
Cd: 0.0000 0.0000 0.0000 [1 per cell]  4 Cd 2.70, 8 Cu 2.86
Cu: 0.5000 0.5000 0.2653 [2 per cell]  4 Tc 2.68, 4 Cu 2.70, 4 Cd 2.86
Tc: 0.0000 0.0000 0.5000 [1 per cell]  8 Cu 2.68, 4 Tc 2.70


Entry from the Alexandria database: an optimized crystal structure of AgRh2Cl (PBE).

ΔE_f (raw) in meV per atom: 640
Total magnetic moment in μB/atom: 0.271
Energy above the most stable polymorph in this dataset in meV/atom: 461.2

Cell: 4.6914 4.6914 2.9154 Å, 90.00 90.00 90.00°
Closest atoms and distances in Å follow each position.
Space group P4/mmm (No. 123)
One atom of each set of equivalent atoms:
Ag: 0.0000 0.0000 0.0000 [1 per cell]  8 Rh 2.76, 2 Ag 2.92
Rh: 0.0000 0.5000 0.5000 [2 per cell]  4 Cl 2.76, 4 Ag 2.76, 2 Rh 2.92
Cl: 0.5000 0.5000 0.0000 [1 per cell]  8 Rh 2.76, 2 Cl 2.92


Entry from the Alexandria database: an optimized crystal structure of Ac2MgSnPt6 (PBE).

Energy in eV/atom: -5.822
Total magnetic moment in μB/atom: 0.000

Cell: 12.6277 5.5905 8.9829 Å, 90.00 134.03 90.00°
Closest atoms and distances in Å follow each position.
Space group C2/m (No. 12)
One atom of each set of equivalent atoms:
Ac: 0.2436 0.0000 0.1961 [4 per cell]  7 Pt 3.23-3.51, 2 Mg 3.58
Mg: 0.0000 0.5000 0.0000 [2 per cell]  6 Pt 2.63-2.67
Sn: 0.0000 0.0000 0.5000 [2 per cell]  6 Pt 2.66-2.67
Pt: 0.0026 0.2535 0.2516 [8 per cell]  1 Mg 2.63, 1 Sn 2.66, 4 Pt 2.72-2.83
Pt: 0.2464 0.5000 0.4035 [4 per cell]  1 Mg 2.67, 1 Sn 2.67, 4 Pt 2.72-2.83


Entry from the Alexandria database: an optimized crystal structure of Er6SbP5 (PBE).

ΔE_f (raw) in meV per atom: -1491
Total magnetic moment in μB/atom: 0.000

Cell: 6.9965 12.1029 6.9764 Å, 90.00 109.54 90.00°
Closest atoms and distances in Å follow each position.
Space group C2/m (No. 12)
One atom of each set of equivalent atoms:
Er: 0.2368 0.0000 0.2572 [4 per cell]  5 P 2.74-2.84, 1 Sb 2.97
Er: 0.2393 0.1747 0.7424 [8 per cell]  5 P 2.76-2.88, 1 Sb 2.97
Sb: 0.0000 0.5000 0.0000 [2 per cell]  6 Er 2.97
P: 0.0000 0.0000 0.5000 [2 per cell]  6 Er 2.74-2.87
P: 0.0000 0.1668 0.0000 [4 per cell]  6 Er 2.84
P: 0.0000 0.3368 0.5000 [4 per cell]  6 Er 2.76-2.88


Entry from the Alexandria database: an optimized crystal structure of LiBC (PBE).

Energy in eV/atom: -6.321
Total magnetic moment in μB/atom: 0.000

Cell: 2.7478 2.7478 7.0179 Å, 90.00 90.00 120.00°
Closest atoms and distances in Å follow each position.
Space group P6_3/mmc (No. 194)
One atom of each set of equivalent atoms:
Li: 0.0000 0.0000 0.0000 [2 per cell]  6 B 2.37, 6 C 2.37
B: 0.3333 0.6667 0.2500 [2 per cell]  3 C 1.59
C: 0.3333 0.6667 0.7500 [2 per cell]  3 B 1.59